BaNiAgHg2: relaxed, GGA-PBE.

Unit cell a=5.0912 b=5.0912 c=5.1754 alpha=90.00 beta=90.00 gamma=90.00
Fractional positions:
Ni 0.0000 0.0000 0.0000
Hg 0.0000 0.5000 0.0000
Hg 0.5000 0.0000 0.0000
Ag 0.0000 0.0000 0.5000
Ba 0.5000 0.5000 0.5000

The value obtained for the formation energy is -159 meV/atom. Its electronic total energy is -11.955 eV/cell.